No. 1
# Rb2BaMgBr6

Rb2BaMgBr6 after structural relaxation (PBE, Alexandria via LeMat-Bulk).

The structure belongs to space group Fm-3m (No. 225); the cell edges are 11.657, 11.657 and 11.657 Å and the angles 90.00°, 90.00° and 90.00°. Symmetry generates all atoms from Rb at (0.250, 0.250, 0.250), Ba at (0.000, 0.000, 0.000), Mg at (0.000, 0.000, 0.500) and Br at (0.000, 0.000, 0.270).

The crystal system is cubic. The formation energy from raw total energies is -1.75 eV per atom.

=====

No. 2
# CaCr2Cl

CaCr2Cl after structural relaxation (PBE, Alexandria via LeMat-Bulk).

The structure belongs to space group F-43m (No. 216); the cell edges are 7.292, 7.292 and 7.292 Å and the angles 90.00°, 90.00° and 90.00°. Symmetry generates all atoms from Ca at (0.000, 0.000, 0.000), Cr at (0.000, 0.000, 0.500), Cr at (0.250, 0.250, 0.750) and Cl at (0.250, 0.250, 0.250).

The crystal system is cubic. The formation energy from raw total energies is 0.56 eV per atom.

=====

No. 3
# PrMg2Ga2Ag2

PrMg2Ga2Ag2 after structural relaxation (PBE, Alexandria via LeMat-Bulk).

The structure belongs to space group R-3m (No. 166, hexagonal axes); the cell edges are 4.5447, 4.5447 and 24.6673 Å and the angles 90.00°, 90.00° and 120.00°. Symmetry generates all atoms from Pr at (0.0000, 0.0000, 0.0000), Mg at (0.0000, 0.0000, 0.1379), Ga at (0.0000, 0.0000, 0.2593) and Ag at (0.0000, 0.0000, 0.4320).

The crystal system is trigonal. Its formation energy is -327 meV/atom.

=====

No. 4
# Li2Hg9Pb

Li2Hg9Pb after structural relaxation (PBE, Alexandria via LeMat-Bulk).

The structure belongs to space group P6/mmm (No. 191); the cell edges are 9.7282, 9.7282 and 3.5590 Å and the angles 90.00°, 90.00° and 120.00°. Symmetry generates all atoms from Li at (0.3333, 0.6667, 0.0000), Hg at (0.0000, 0.5000, 0.0000), Hg at (0.1850, 0.3700, 0.5000) and Pb at (0.0000, 0.0000, 0.0000).

The crystal system is hexagonal. Its formation energy is -82 meV/atom.

=====

No. 5
# Y2AgAuBr

Y2AgAuBr after structural relaxation (PBE, Alexandria via LeMat-Bulk).

The structure belongs to space group P4/mmm (No. 123); the cell edges are 5.508, 5.508 and 5.119 Å and the angles 90.00°, 90.00° and 90.00°. Symmetry generates all atoms from Y at (0.000, 0.500, 0.000), Ag at (0.000, 0.000, 0.000), Au at (0.000, 0.000, 0.500) and Br at (0.500, 0.500, 0.500).

The crystal system is tetragonal. The formation energy from raw total energies is -0.05 eV per atom.

=====

No. 6
# SiTc2P

SiTc2P after structural relaxation (PBE, Alexandria via LeMat-Bulk).

The structure belongs to space group Cm (No. 8); the cell edges are 8.526, 2.989 and 4.372 Å and the angles 90.00°, 106.74° and 90.00°. Symmetry generates all atoms from Si at (0.000, 0.000, 0.000), Tc at (0.006, 0.500, 0.526), Tc at (0.244, 0.500, 0.136) and P at (0.249, 0.000, 0.682).

The crystal system is monoclinic. The formation energy from raw total energies is -0.41 eV per atom.

=====

No. 7
# Ta4AlRh

Ta4AlRh after structural relaxation (PBE, Alexandria via LeMat-Bulk).

The structure belongs to space group F-43m (No. 216); the cell edges are 7.596, 7.596 and 7.596 Å and the angles 90.00°, 90.00° and 90.00°. Symmetry generates all atoms from Ta at (0.124, 0.124, 0.124), Al at (0.250, 0.250, 0.750) and Rh at (0.000, 0.000, 0.500).

The crystal system is cubic. Its formation energy is 257 meV/atom.

=====

No. 8
# CaSiNi2

CaSiNi2 after structural relaxation (PBE, Alexandria via LeMat-Bulk).

The structure belongs to space group I-42d (No. 122); the cell edges are 4.612, 4.612 and 15.116 Å and the angles 90.00°, 90.00° and 90.00°. Symmetry generates all atoms from Ca at (0.000, 0.000, 0.000), Si at (0.000, 0.000, 0.500) and Ni at (0.027, 0.250, 0.625).

The crystal system is tetragonal. The formation energy from raw total energies is -0.19 eV per atom.

=====

No. 9
# AcPm2DyTm5

AcPm2DyTm5 after structural relaxation (PBE, Alexandria via LeMat-Bulk).

The structure belongs to space group I4/mcm (No. 140); the cell edges are 8.813, 8.813 and 15.346 Å and the angles 90.00°, 90.00° and 90.00°. Symmetry generates all atoms from Ac at (0.000, 0.000, 0.250), Pm at (0.116, 0.384, 0.000), Dy at (0.000, 0.500, 0.250), Tm at (0.000, 0.000, 0.000) and Tm at (0.207, 0.293, 0.368).

The crystal system is tetragonal. Its formation energy is 262 meV/atom.

=====

No. 10
# K2AlRe2

K2AlRe2 after structural relaxation (PBE, Alexandria via LeMat-Bulk).

The structure belongs to space group I4/mmm (No. 139); the cell edges are 3.689, 3.689 and 16.060 Å and the angles 90.00°, 90.00° and 90.00°. Symmetry generates all atoms from K at (0.000, 0.500, 0.250), Al at (0.000, 0.000, 0.000) and Re at (0.000, 0.000, 0.429).

The crystal system is tetragonal. Its formation energy is 1629 meV/atom.

=====

No. 11
# Tb2PbSe

Tb2PbSe after structural relaxation (PBE, Alexandria via LeMat-Bulk).

The structure belongs to space group P3m1 (No. 156); the cell edges are 4.5057, 4.5057 and 7.5712 Å and the angles 90.00°, 90.00° and 120.00°. Symmetry generates all atoms from Tb at (0.0000, 0.0000, 0.0000), Tb at (0.3333, 0.6667, 0.4467), Pb at (0.6667, 0.3333, 0.2451) and Se at (0.3333, 0.6667, 0.8170).

The crystal system is trigonal. The formation energy from raw total energies is -0.94 eV per atom.

=====

No. 12
# CaSm6Tm2

CaSm6Tm2 after structural relaxation (PBE, Alexandria via LeMat-Bulk).

The structure belongs to space group P-6m2 (No. 187); the cell edges are 3.6282, 3.6282 and 26.9833 Å and the angles 90.00°, 90.00° and 120.00°. Symmetry generates all atoms from Ca at (0.0000, 0.0000, 0.0000), Sm at (0.0000, 0.0000, 0.2246), Sm at (0.0000, 0.0000, 0.4339), Sm at (0.6667, 0.3333, 0.1182) and Tm at (0.6667, 0.3333, 0.3315).

The crystal system is hexagonal. Its formation energy is 63 meV/atom.

=====

| no. | raw total energy (eV per atom) |
| --- | --- |
| 1 | -3.297 |
| 2 | -5.215 |
| 3 | -3.145 |
| 4 | -0.937 |
| 5 | -4.195 |
| 6 | -8.306 |
| 7 | -9.494 |
| 8 | -4.935 |
| 9 | -4.246 |
| 10 | -4.538 |
| 11 | -5.050 |
| 12 | -4.299 |